--- w ---
# RbTl3Te3

A relaxed structure of RbTl3Te3 (PBE, Alexandria).

abc: 9.4243 9.4243 24.5915
angles: 90.00 90.00 120.00
Space group R-3 (No. 148, hexagonal axes)
Asymmetric unit:
Rb: 0.0000 0.0000 0.1668
Tl: 0.0037 0.6813 0.6160
Te: 0.0009 0.6527 0.4106

=====

--- x ---
# RbTl3Te3

A relaxed structure of RbTl3Te3 (PBE, Alexandria).

abc: 8.912 8.912 8.912
angles: 90.00 90.00 90.00
Space group Pm-3n (No. 223)
Asymmetric unit:
Rb: 0.000 0.000 0.000
Tl: 0.000 0.250 0.500
Te: 0.000 0.500 0.250

=====

Stability verdict: w, ahead by 13.1 kJ/mol of atoms